Entry 1:
## Y2InHg2 (SCAN)

Data for a crystal of Y2InHg2 relaxed with PBEsol.

a = 7.864 Å, b = 7.864 Å, c = 3.962 Å
α = 90.00°, β = 90.00°, γ = 90.00°
Space group P4/mbm (No. 127)
Unique sites:
Y 0.171 0.329 0.000 (multiplicity 4)
In 0.000 0.000 0.500 (multiplicity 2)
Hg 0.130 0.630 0.500 (multiplicity 4)

Computed properties:
**Fermi-level density of states**: 0.5813 states/eV/atom
**E**: -457.97 eV/cell

=====

Entry 2:
## Hf6Al2Ni (SCAN)

Data for a crystal of Hf6Al2Ni relaxed with PBEsol.

a = 7.7548 Å, b = 7.7548 Å, c = 3.2723 Å
α = 90.00°, β = 90.00°, γ = 120.00°
Space group P-62m (No. 189)
Unique sites:
Hf 0.0000 0.2557 0.0000 (multiplicity 3)
Hf 0.0000 0.6017 0.5000 (multiplicity 3)
Al 0.3333 0.6667 0.0000 (multiplicity 2)
Ni 0.0000 0.0000 0.5000 (multiplicity 1)

Computed properties:
**Fermi-level density of states**: 1.0668 states/eV/atom
**E**: -410.91 eV/cell

=====

Entry 3:
## CoTePtI2 (SCAN)

Data for a crystal of CoTePtI2 relaxed with PBEsol.

a = 5.359 Å, b = 5.359 Å, c = 5.247 Å
α = 90.00°, β = 90.00°, γ = 90.00°
Space group P4/mmm (No. 123)
Unique sites:
Co 0.000 0.000 0.000 (multiplicity 1)
Te 0.500 0.500 0.000 (multiplicity 1)
Pt 0.500 0.500 0.500 (multiplicity 1)
I 0.000 0.500 0.500 (multiplicity 2)

Computed properties:
**Fermi-level density of states**: 0.8447 states/eV/atom
**E**: -194.49 eV/cell

=====

Entry 4:
## InSiTc2 (SCAN)

Data for a crystal of InSiTc2 relaxed with PBEsol.

a = 2.994 Å, b = 2.994 Å, c = 6.640 Å
α = 90.00°, β = 90.00°, γ = 90.00°
Space group P4/mmm (No. 123)
Unique sites:
In 0.000 0.000 0.000 (multiplicity 1)
Si 0.000 0.000 0.500 (multiplicity 1)
Tc 0.500 0.500 0.299 (multiplicity 2)

Computed properties:
**Fermi-level density of states**: 0.6656 states/eV/atom
**E**: -113.97 eV/cell

=====

Entry 5:
## PPb2Cl (SCAN)

Data for a crystal of PPb2Cl relaxed with PBEsol.

a = 4.1868 Å, b = 4.1868 Å, c = 21.2279 Å
α = 90.00°, β = 90.00°, γ = 120.00°
Space group R-3m (No. 166, hexagonal axes)
Unique sites:
P 0.0000 0.0000 0.0000 (multiplicity 3)
Pb 0.0000 0.0000 0.2610 (multiplicity 6)
Cl 0.0000 0.0000 0.5000 (multiplicity 3)

Computed properties:
**Fermi-level density of states**: 0.0139 states/eV/atom
**E**: -515.25 eV/cell

=====

Entry 6:
## MnTeSe (SCAN)

Data for a crystal of MnTeSe relaxed with PBEsol.

a = 3.5921 Å, b = 3.5921 Å, c = 5.7864 Å
α = 90.00°, β = 90.00°, γ = 120.00°
Space group P3m1 (No. 156)
Unique sites:
Mn 0.0000 0.0000 0.0000 (multiplicity 1)
Te 0.6667 0.3333 0.2831 (multiplicity 1)
Se 0.3333 0.6667 0.7755 (multiplicity 1)

Computed properties:
**Fermi-level density of states**: 0.3267 states/eV/atom
**E**: -77.23 eV/cell

=====

Entry 7:
## Zr2CuHg (SCAN)

Data for a crystal of Zr2CuHg relaxed with PBEsol.

a = 4.219 Å, b = 4.219 Å, c = 8.337 Å
α = 90.00°, β = 90.00°, γ = 90.00°
Space group I4/mmm (No. 139)
Unique sites:
Zr 0.000 0.500 0.250 (multiplicity 4)
Cu 0.000 0.000 0.000 (multiplicity 2)
Hg 0.000 0.000 0.500 (multiplicity 2)

Computed properties:
**Fermi-level density of states**: 0.8789 states/eV/atom
**E**: -291.12 eV/cell

=====

Entry 8:
## LiFe2Hg (SCAN)

Data for a crystal of LiFe2Hg relaxed with PBEsol.

a = 2.674 Å, b = 4.067 Å, c = 5.119 Å
α = 90.00°, β = 90.00°, γ = 90.00°
Space group Pmmm (No. 47)
Unique sites:
Li 0.000 0.000 0.000 (multiplicity 1)
Fe 0.500 0.500 0.229 (multiplicity 2)
Hg 0.000 0.000 0.500 (multiplicity 1)

Computed properties:
**Fermi-level density of states**: 0.5054 states/eV/atom
**E**: -105.82 eV/cell

=====

Entry 9:
## NbZnCr2Cu (SCAN)

Data for a crystal of NbZnCr2Cu relaxed with PBEsol.

a = 4.417 Å, b = 4.417 Å, c = 4.634 Å
α = 90.00°, β = 90.00°, γ = 90.00°
Space group P4/mmm (No. 123)
Unique sites:
Nb 0.000 0.000 0.000 (multiplicity 1)
Zn 0.500 0.500 0.000 (multiplicity 1)
Cr 0.000 0.500 0.500 (multiplicity 2)
Cu 0.000 0.000 0.500 (multiplicity 1)

Computed properties:
**Fermi-level density of states**: 0.5751 states/eV/atom
**E**: -93.53 eV/cell

=====

Entry 10:
## ZrPW2 (SCAN)

Data for a crystal of ZrPW2 relaxed with PBEsol.

a = 9.148 Å, b = 3.323 Å, c = 5.113 Å
α = 90.00°, β = 122.08°, γ = 90.00°
Space group Cm (No. 8)
Unique sites:
Zr 0.000 0.000 0.000 (multiplicity 2)
P 0.221 0.500 0.410 (multiplicity 2)
W 0.208 0.000 0.747 (multiplicity 2)
W 0.430 0.000 0.424 (multiplicity 2)

Computed properties:
**Fermi-level density of states**: 0.7318 states/eV/atom
**E**: -361.85 eV/cell

=====

Entry 11:
## BaFePt3 (SCAN)

Data for a crystal of BaFePt3 relaxed with PBEsol.

a = 4.716 Å, b = 4.716 Å, c = 4.716 Å
α = 90.00°, β = 90.00°, γ = 90.00°
Space group Pm-3m (No. 221)
Unique sites:
Ba 0.000 0.000 0.000 (multiplicity 1)
Fe 0.500 0.500 0.500 (multiplicity 1)
Pt 0.000 0.500 0.500 (multiplicity 3)

Computed properties:
**Fermi-level density of states**: 0.7747 states/eV/atom
**E**: -268.53 eV/cell

=====

Entry 12:
## USnPt (SCAN)

Data for a crystal of USnPt relaxed with PBEsol.

a = 7.2824 Å, b = 7.2824 Å, c = 4.1325 Å
α = 90.00°, β = 90.00°, γ = 120.00°
Space group P-62m (No. 189)
Unique sites:
U 0.0000 0.5854 0.0000 (multiplicity 3)
Sn 0.0000 0.2544 0.5000 (multiplicity 3)
Pt 0.0000 0.0000 0.0000 (multiplicity 1)
Pt 0.3333 0.6667 0.5000 (multiplicity 2)

Computed properties:
**Fermi-level density of states**: 2.0936 states/eV/atom
**E**: -633.33 eV/cell

=====

Entry 13:
## CsSiTe2I (SCAN)

Data for a crystal of CsSiTe2I relaxed with PBEsol.

a = 5.333 Å, b = 5.333 Å, c = 6.018 Å
α = 90.00°, β = 90.00°, γ = 90.00°
Space group P4/mmm (No. 123)
Unique sites:
Cs 0.000 0.000 0.000 (multiplicity 1)
Si 0.500 0.500 0.500 (multiplicity 1)
Te 0.000 0.500 0.500 (multiplicity 2)
I 0.500 0.500 0.000 (multiplicity 1)

Computed properties:
**Fermi-level density of states**: 0.6088 states/eV/atom
**E**: -160.69 eV/cell

=====

Entry 14:
## LiBr3 (SCAN)

Data for a crystal of LiBr3 relaxed with PBEsol.

a = 3.604 Å, b = 3.604 Å, c = 7.132 Å
α = 90.00°, β = 90.00°, γ = 90.00°
Space group P4/mmm (No. 123)
Unique sites:
Li 0.000 0.000 0.000 (multiplicity 1)
Br 0.000 0.000 0.500 (multiplicity 1)
Br 0.500 0.500 0.187 (multiplicity 2)

Computed properties:
**Fermi-level density of states**: 0.6020 states/eV/atom
**E**: -62.42 eV/cell

=====

Entry 15:
## Ca2SbPbAu (SCAN)

Data for a crystal of Ca2SbPbAu relaxed with PBEsol.

a = 5.517 Å, b = 5.517 Å, c = 5.262 Å
α = 90.00°, β = 90.00°, γ = 90.00°
Space group P4/mmm (No. 123)
Unique sites:
Ca 0.000 0.500 0.000 (multiplicity 2)
Sb 0.000 0.000 0.500 (multiplicity 1)
Pb 0.500 0.500 0.500 (multiplicity 1)
Au 0.000 0.000 0.000 (multiplicity 1)

Computed properties:
**Fermi-level density of states**: 0.6814 states/eV/atom
**E**: -203.54 eV/cell

=====

Entry 16:
## Dy2Co2I (SCAN)

Data for a crystal of Dy2Co2I relaxed with PBEsol.

a = 3.8673 Å, b = 3.8673 Å, c = 16.5946 Å
α = 90.00°, β = 90.00°, γ = 120.00°
Space group P6_3/mmc (No. 194)
Unique sites:
Dy 0.0000 0.0000 0.1047 (multiplicity 4)
Co 0.3333 0.6667 0.0014 (multiplicity 4)
I 0.3333 0.6667 0.7500 (multiplicity 2)

Computed properties:
**Fermi-level density of states**: 0.9499 states/eV/atom
**E**: -339.55 eV/cell

=====

Entry 17:
## Ba2MgBe (SCAN)

Data for a crystal of Ba2MgBe relaxed with PBEsol.

a = 4.1028 Å, b = 4.1028 Å, c = 30.9922 Å
α = 90.00°, β = 90.00°, γ = 120.00°
Space group R-3m (No. 166, hexagonal axes)
Unique sites:
Ba 0.0000 0.0000 0.2377 (multiplicity 6)
Mg 0.0000 0.0000 0.0000 (multiplicity 3)
Be 0.0000 0.0000 0.5000 (multiplicity 3)

Computed properties:
**Fermi-level density of states**: 1.1286 states/eV/atom
**E**: -259.15 eV/cell

=====

Entry 18:
## LaTlIn2 (SCAN)

Data for a crystal of LaTlIn2 relaxed with PBEsol.

a = 4.714 Å, b = 4.714 Å, c = 4.742 Å
α = 90.00°, β = 90.00°, γ = 90.00°
Space group P4/mmm (No. 123)
Unique sites:
La 0.000 0.000 0.000 (multiplicity 1)
Tl 0.500 0.500 0.000 (multiplicity 1)
In 0.000 0.500 0.500 (multiplicity 2)

Computed properties:
**Fermi-level density of states**: 0.5215 states/eV/atom
**E**: -184.41 eV/cell

=====

Entry 19:
## ZnSbS3 (SCAN)

Data for a crystal of ZnSbS3 relaxed with PBEsol.

a = 4.931 Å, b = 4.931 Å, c = 4.931 Å
α = 90.00°, β = 90.00°, γ = 90.00°
Space group Pm-3m (No. 221)
Unique sites:
Zn 0.000 0.000 0.000 (multiplicity 1)
Sb 0.500 0.500 0.500 (multiplicity 1)
S 0.000 0.500 0.500 (multiplicity 3)

Computed properties:
**Fermi-level density of states**: 0.7007 states/eV/atom
**E**: -76.90 eV/cell

=====

Entry 20:
## Fe2CoAu (SCAN)

Data for a crystal of Fe2CoAu relaxed with PBEsol.

a = 2.684 Å, b = 3.481 Å, c = 5.371 Å
α = 90.00°, β = 90.00°, γ = 90.00°
Space group Pmmm (No. 47)
Unique sites:
Fe 0.000 0.000 0.214 (multiplicity 2)
Co 0.500 0.500 0.000 (multiplicity 1)
Au 0.500 0.500 0.500 (multiplicity 1)

Computed properties:
**Fermi-level density of states**: 0.6819 states/eV/atom
**E**: -122.91 eV/cell

=====

Entry 21:
## K2FePt (SCAN)

Data for a crystal of K2FePt relaxed with PBEsol.

a = 3.990 Å, b = 3.990 Å, c = 5.273 Å
α = 90.00°, β = 90.00°, γ = 90.00°
Space group P4/mmm (No. 123)
Unique sites:
K 0.000 0.500 0.000 (multiplicity 2)
Fe 0.000 0.000 0.500 (multiplicity 1)
Pt 0.500 0.500 0.500 (multiplicity 1)

Computed properties:
**Fermi-level density of states**: 0.4553 states/eV/atom
**E**: -102.82 eV/cell

=====

Entry 22:
## Na2Cd2Pb (SCAN)

Data for a crystal of Na2Cd2Pb relaxed with PBEsol.

a = 7.946 Å, b = 7.946 Å, c = 4.112 Å
α = 90.00°, β = 90.00°, γ = 90.00°
Space group P4/mbm (No. 127)
Unique sites:
Na 0.173 0.327 0.000 (multiplicity 4)
Cd 0.126 0.626 0.500 (multiplicity 4)
Pb 0.000 0.000 0.500 (multiplicity 2)

Computed properties:
**Fermi-level density of states**: 0.3784 states/eV/atom
**E**: -291.35 eV/cell

=====

Entry 23:
## LaNi (SCAN)

Data for a crystal of LaNi relaxed with PBEsol.

a = 3.784 Å, b = 4.289 Å, c = 5.646 Å
α = 90.00°, β = 109.73°, γ = 90.00°
Space group P2_1/m (No. 11)
Unique sites:
La 0.135 0.250 0.270 (multiplicity 2)
Ni 0.426 0.250 0.851 (multiplicity 2)

Computed properties:
**Fermi-level density of states**: 0.7420 states/eV/atom
**E**: -119.72 eV/cell

=====

Entry 24:
## TcHS2Cl (SCAN)

Data for a crystal of TcHS2Cl relaxed with PBEsol.

a = 4.455 Å, b = 4.455 Å, c = 5.008 Å
α = 90.00°, β = 90.00°, γ = 90.00°
Space group P4/mmm (No. 123)
Unique sites:
Tc 0.000 0.000 0.000 (multiplicity 1)
H 0.500 0.500 0.500 (multiplicity 1)
S 0.000 0.500 0.000 (multiplicity 2)
Cl 0.000 0.000 0.500 (multiplicity 1)

Computed properties:
**Fermi-level density of states**: 0.5087 states/eV/atom
**E**: -63.71 eV/cell

=====

Entry 25:
## CsBi2OsBr (SCAN)

Data for a crystal of CsBi2OsBr relaxed with PBEsol.

a = 5.206 Å, b = 5.206 Å, c = 5.983 Å
α = 90.00°, β = 90.00°, γ = 90.00°
Space group P4/mmm (No. 123)
Unique sites:
Cs 0.000 0.000 0.000 (multiplicity 1)
Bi 0.000 0.500 0.500 (multiplicity 2)
Os 0.500 0.500 0.500 (multiplicity 1)
Br 0.500 0.500 0.000 (multiplicity 1)

Computed properties:
**Fermi-level density of states**: 0.7321 states/eV/atom
**E**: -285.50 eV/cell

=====

Entry 26:
## HgWSe2 (SCAN)

Data for a crystal of HgWSe2 relaxed with PBEsol.

a = 10.751 Å, b = 3.177 Å, c = 6.220 Å
α = 90.00°, β = 118.31°, γ = 90.00°
Space group Cm (No. 8)
Unique sites:
Hg 0.000 0.000 0.000 (multiplicity 2)
W 0.283 0.000 0.009 (multiplicity 2)
Se 0.115 0.500 0.706 (multiplicity 2)
Se 0.280 0.500 0.310 (multiplicity 2)

Computed properties:
**Fermi-level density of states**: 0.3348 states/eV/atom
**E**: -355.27 eV/cell

=====

Entry 27:
## TaTl2Cl (SCAN)

Data for a crystal of TaTl2Cl relaxed with PBEsol.

a = 7.159 Å, b = 7.159 Å, c = 7.159 Å
α = 90.00°, β = 90.00°, γ = 90.00°
Space group Fm-3m (No. 225)
Unique sites:
Ta 0.000 0.000 0.000 (multiplicity 4)
Tl 0.250 0.250 0.250 (multiplicity 8)
Cl 0.000 0.000 0.500 (multiplicity 4)

Computed properties:
**Fermi-level density of states**: 0.1656 states/eV/atom
**E**: -864.52 eV/cell

=====

Entry 28:
## MoRu3 (SCAN)

Data for a crystal of MoRu3 relaxed with PBEsol.

a = 4.695 Å, b = 8.665 Å, c = 5.426 Å
α = 90.00°, β = 90.00°, γ = 90.00°
Space group Pnma (No. 62)
Unique sites:
Mo 0.087 0.250 0.116 (multiplicity 4)
Ru 0.085 0.250 0.621 (multiplicity 4)
Ru 0.243 0.501 0.371 (multiplicity 8)

Computed properties:
**Fermi-level density of states**: 0.8188 states/eV/atom
**E**: -556.96 eV/cell